Material: Y2Os2Br
Method: DFT, PBE
State: optimized geometry

The formation energy from raw total energies comes out at -0.1890 eV/atom. For the calculated density, the calculation gives 8.83 g/cm³. The calculation puts the distance to the lowest polymorph of the same formula at 0.000 eV per atom. The density of states at the Fermi level comes out at 6.9 states/eV/f.u.

The structure belongs to space group I4/mmm (No. 139); the cell edges are 3.752, 3.752 and 17.043 Å and the angles 90.00°, 90.00° and 90.00°. The inequivalent atoms are Y at (0.000, 0.000, 0.124), Os at (0.000, 0.500, 0.250) and Br at (0.000, 0.000, 0.500).